one.
The following is a SCAN calculation of a PBEsol-optimized structure of SiTeMo2, from Alexandria via LeMat-Bulk.

## Properties
SG: P4/mmm (123)
Density of states at the Fermi level, states/eV/cell: 2.66
Magnetic moment, μB/f.u.: 0.000

Cell: 4.457 4.457 3.182 Å, 90.00 90.00 90.00°
Sites, in units of the cell vectors:
1 Si 0.000 0.000 0.000
2 Te 0.500 0.500 0.000
3 Mo 0.000 0.500 0.500
4 Mo 0.500 0.000 0.500

two.
The following is a SCAN calculation of a PBEsol-optimized structure of SiTeMo2, from Alexandria via LeMat-Bulk.

## Properties
SG: P2/m (10)
Density of states at the Fermi level, states/eV/cell: 2.53
Magnetic moment, μB/f.u.: 0.000

Cell: 3.177 3.433 6.079 Å, 90.00 99.15 90.00°
Sites, in units of the cell vectors:
1 Si 0.000 0.000 0.000
2 Te 0.000 0.000 0.500
3 Mo 0.393 0.500 0.226
4 Mo 0.607 0.500 0.774

Which structure is the least stable? The one labeled two.

one.
The following is a SCAN calculation of a PBEsol-optimized structure of TlSiMo, from Alexandria via LeMat-Bulk.

## Properties
SG: P3m1 (156)
Density of states at the Fermi level, states/eV/cell: 3.49
Magnetic moment, μB/f.u.: 0.002

Cell: 3.097 3.097 6.547 Å, 90.00 90.00 120.00°
Sites, in units of the cell vectors:
1 Tl 0.000 0.000 0.000
2 Si 0.667 0.333 0.378
3 Mo 0.333 0.667 0.638

two.
The following is a SCAN calculation of a PBEsol-optimized structure of TlSiMo, from Alexandria via LeMat-Bulk.

## Properties
SG: F-43m (216)
Density of states at the Fermi level, states/eV/cell: 2.65
Magnetic moment, μB/f.u.: 0.000

Cell: 4.282 4.282 4.282 Å, 60.00 60.00 60.00°
Sites, in units of the cell vectors:
1 Tl 0.000 0.000 0.000
2 Si 0.250 0.250 0.250
3 Mo 0.500 0.500 0.500

Which structure is the least stable? The one labeled two.

one.
The following is a SCAN calculation of a PBEsol-optimized structure of SiMoW2, from Alexandria via LeMat-Bulk.

## Properties
SG: Immm (71)
Density of states at the Fermi level, states/eV/cell: 2.62
Magnetic moment, μB/f.u.: 0.000

Cell: 5.115 5.115 5.115 Å, 144.17 130.80 62.34°
Sites, in units of the cell vectors:
1 Si 0.000 0.000 0.000
2 Mo 0.500 0.500 0.000
3 W 0.252 0.752 0.500
4 W 0.748 0.248 0.500

two.
The following is a SCAN calculation of a PBEsol-optimized structure of SiMoW2, from Alexandria via LeMat-Bulk.

## Properties
SG: Cmmm (65)
Density of states at the Fermi level, states/eV/cell: 2.62
Magnetic moment, μB/f.u.: 0.000

Cell: 4.344 4.344 3.164 Å, 90.00 90.00 98.43°
Sites, in units of the cell vectors:
1 Si 0.000 0.000 0.000
2 Mo 0.500 0.500 0.000
3 W 0.000 0.500 0.500
4 W 0.500 0.000 0.500

Which structure is the least stable? The one labeled two.

one.
The following is a SCAN calculation of a PBEsol-optimized structure of YSi2Mo, from Alexandria via LeMat-Bulk.

## Properties
SG: I-4m2 (119)
Density of states at the Fermi level, states/eV/cell: 2.64
Magnetic moment, μB/f.u.: 1.217

Cell: 5.219 5.219 5.219 Å, 136.02 136.02 63.96°
Sites, in units of the cell vectors:
1 Y 0.000 0.000 0.000
2 Si 0.250 0.750 0.500
3 Si 0.500 0.500 0.000
4 Mo 0.750 0.250 0.500

two.
The following is a SCAN calculation of a PBEsol-optimized structure of YSi2Mo, from Alexandria via LeMat-Bulk.

## Properties
SG: F-43m (216)
Density of states at the Fermi level, states/eV/cell: 2.58
Magnetic moment, μB/f.u.: 0.000

Cell: 4.534 4.534 4.534 Å, 60.00 60.00 60.00°
Sites, in units of the cell vectors:
1 Y 0.000 0.000 0.000
2 Si 0.500 0.500 0.500
3 Si 0.750 0.750 0.750
4 Mo 0.250 0.250 0.250

Which structure is the least stable? The one labeled two.